No. 1
DFT (GGA-PBEsol) results for a relaxed structure of Zr4Zn5.

The mass density is 7.3 g/cm³. The density of states at the Fermi level is 11.66 states/eV per cell. The calculation puts the total magnetic moment at 0.0 μB per cell. Its space group is P6_3/mcm, No. 193. Its formation enthalpy at 0 K is -2.07 eV/f.u. The total DFT energy (no corrections) is -5.15 eV/atom.

Lattice parameters (Å, degrees): 5.575 8.090 8.090 120.00 90.00 90.00
Fractional positions:
Zn (0.750, 0.000, 0.684)
Zn (0.750, 0.684, 0.000)
Zn (0.750, 0.316, 0.316)
Zn (0.250, 0.000, 0.316)
Zn (0.250, 0.316, 0.000)
Zn (0.250, 0.684, 0.684)
Zn (0.000, 0.333, 0.667)
Zn (0.500, 0.667, 0.333)
Zn (0.000, 0.667, 0.333)
Zn (0.500, 0.333, 0.667)
Zr (0.000, 0.000, 0.000)
Zr (0.500, 0.000, 0.000)
Zr (0.750, 0.000, 0.356)
Zr (0.750, 0.356, 0.000)
Zr (0.750, 0.644, 0.644)
Zr (0.250, 0.000, 0.644)
Zr (0.250, 0.644, 0.000)
Zr (0.250, 0.356, 0.356)

=====

No. 2
DFT (GGA-PBEsol) results for a relaxed structure of ScPbO2F.

The mass density is 6.1 g/cm³. The calculation puts the raw formation energy at -1050 meV per atom. The density of states at the Fermi level is 4.15 states/eV per cell. The calculation puts the total magnetic moment at 1.1 μB per cell. Its space group is P4/mmm, No. 123. The total DFT energy (no corrections) is -5.66 eV/atom.

Lattice parameters (Å, degrees): 4.335 4.335 4.420 90.00 90.00 90.00
Last column: magnetic moment on the atom in μB.
Fractional positions:
Pb (0.000, 0.000, 0.000)  0.00
Sc (0.500, 0.500, 0.500)  0.84
O (0.000, 0.500, 0.000)  -0.01
O (0.500, 0.000, 0.000)  -0.01
F (0.000, 0.000, 0.500)  0.01

=====

No. 3
DFT (GGA-PBEsol) results for a relaxed structure of CoPdIN2.

The mass density is 5.3 g/cm³. The calculation puts the raw formation energy at 1584 meV per atom. The density of states at the Fermi level is 6.22 states/eV per cell. The calculation puts the total magnetic moment at 2.2 μB per cell. Its space group is P4/mmm, No. 123. The total DFT energy (no corrections) is -4.92 eV/atom.

Lattice parameters (Å, degrees): 3.717 3.717 7.263 90.00 90.00 90.00
Last column: magnetic moment on the atom in μB.
Fractional positions:
I (0.000, 0.000, 0.500)  0.07
Co (0.500, 0.500, 0.500)  1.78
Pd (0.000, 0.000, 0.000)  0.02
N (0.000, 0.500, 0.000)  0.07
N (0.500, 0.000, 0.000)  0.07

=====

No. 4
DFT (GGA-PBEsol) results for a relaxed structure of HfGaSi3.

The mass density is 4.4 g/cm³. The calculation puts the raw formation energy at 741 meV per atom. The density of states at the Fermi level is 1.81 states/eV per cell. The calculation puts the total magnetic moment at 0.0 μB per cell. Its space group is Pm-3m, No. 221. The total DFT energy (no corrections) is -5.48 eV/atom.

Lattice parameters (Å, degrees): 4.994 4.994 4.994 90.00 90.00 90.00
Fractional positions:
Si (0.000, 0.500, 0.000)
Si (0.000, 0.000, 0.500)
Si (0.500, 0.000, 0.000)
Hf (0.000, 0.000, 0.000)
Ga (0.500, 0.500, 0.500)